No. 1
The following is a PBE calculation of a geometry-optimized CaAcCdRu structure, from Alexandria.

The structure in POSCAR format:
```
CaAcCdRu
1.0
-1.1756 2.6596 -4.4315
0.5586 -2.3406 -4.7227
-4.2849 -1.3216 -2.8262
Ac Ca Ru Cd
1 1 1 1
Direct
0.2500 0.2500 0.2500
0.7500 0.7500 0.7500
0.5000 0.5000 0.5000
0.0000 0.0000 0.0000
```

Properties
The space group is F-43m, No. 216. The density comes out at 7.579 g cm⁻³. The total energy comes out at -4.0670 eV per atom.

=====

No. 2
The following is a PBE calculation of a geometry-optimized CaAcCdSb structure, from Alexandria.

The structure in POSCAR format:
```
CaAcCdSb
1.0
5.6302 0.0000 0.0000
2.8151 4.8759 0.0000
2.8151 1.6253 4.5970
Ac Ca Cd Sb
1 1 1 1
Direct
0.5000 0.5000 0.5000
0.0000 0.0000 0.0000
0.7500 0.7500 0.7500
0.2500 0.2500 0.2500
```

Properties
For the formation energy (no corrections), the calculation gives -0.57 eV/atom. The space group is F-43m, No. 216. The density comes out at 6.596 g cm⁻³. The total energy comes out at -3.3569 eV per atom.